# HfPOsO2 | Alexandria | PBE-GGA | relaxed
# total DFT energy (no corrections): -7.927 eV/atom
# energy relative to the elements, uncorrected: -625 meV per atom
# magnetic moment: 3.51 μB per formula unit
data_HfPOsO2
_chemical_formula_sum 'Hf1 P1 Os1 O2'
_space_group_name_H-M_alt 'P 4/m m m'
_space_group_IT_number 123
_space_group_name_Hall '-P 4 2'
_cell_length_a 3.912
_cell_length_b 3.912
_cell_length_c 5.578
_cell_angle_alpha 90.00
_cell_angle_beta 90.00
_cell_angle_gamma 90.00
loop_
_atom_site_label
_atom_site_type_symbol
_atom_site_fract_x
_atom_site_fract_y
_atom_site_fract_z
Hf1 Hf 0.000 0.000 0.000
P1 P 0.000 0.000 0.500
Os1 Os 0.500 0.500 0.500
O1 O 0.000 0.500 0.000